# Ag4Au3Cl12 (GGA-PBE, relaxed)
# E_form (uncorrected)	-339	meV per atom
data_Ag4Au3Cl12
_space_group_name_H-M_alt 'I m -3'
_space_group_IT_number 204
_space_group_name_Hall '-I 2 2 3'
_cell_length_a 10.021
_cell_length_b 10.021
_cell_length_c 10.021
_cell_angle_alpha 90.00
_cell_angle_beta 90.00
_cell_angle_gamma 90.00
loop_
_atom_site_label
_atom_site_type_symbol
_atom_site_fract_x
_atom_site_fract_y
_atom_site_fract_z
_atom_site_occupancy
Ag1 Ag 0.250 0.250 0.250 1
Au1 Au 0.000 0.000 0.500 1
Cl1 Cl 0.000 0.165 0.329 1